1.
4
Lattice="0.000 3.351 3.351 3.351 0.000 3.351 3.351 3.351 0.000" Properties=species:S:1:pos:R:3 comment="Zn2AsCl (PBE, relaxed)" magnetic_moment_mub_per_cell=0.00 de_polymorph_ev_per_atom=0.796 rho_g_cm3=5.3 formation_energy_uncorrected_ev_per_atom=0.315 pbc="T T T"
Zn 0.000 0.000 0.000
Zn 1.675 1.675 1.675
As 5.026 5.026 5.026
Cl 3.351 3.351 3.351

2.
4
Lattice="-1.753 1.755 8.122 1.753 -1.755 8.122 1.753 1.755 -8.122" Properties=species:S:1:pos:R:3 comment="ZnAs2Cl (PBE, relaxed)" magnetic_moment_mub_per_cell=0.00 de_polymorph_ev_per_atom=0.122 rho_g_cm3=4.2 formation_energy_uncorrected_ev_per_atom=-0.151 pbc="T T T"
Zn 0.000 0.000 0.000
As 1.753 0.000 3.086
As 0.000 0.000 9.505
Cl 0.000 1.755 6.527

3.
4
Lattice="-2.380 2.380 3.353 2.380 -2.380 3.353 2.380 2.380 -3.353" Properties=species:S:1:pos:R:3 comment="ZnAs2Cl (PBE, relaxed)" magnetic_moment_mub_per_cell=0.00 de_polymorph_ev_per_atom=0.508 rho_g_cm3=5.5 formation_energy_uncorrected_ev_per_atom=0.235 pbc="T T T"
Zn 0.000 0.000 0.000
As 0.000 0.000 3.353
As 0.000 2.380 1.677
Cl 2.380 0.000 1.677

Copy entry 1 word for word.
4
Lattice="0.000 3.351 3.351 3.351 0.000 3.351 3.351 3.351 0.000" Properties=species:S:1:pos:R:3 comment="Zn2AsCl (PBE, relaxed)" magnetic_moment_mub_per_cell=0.00 de_polymorph_ev_per_atom=0.796 rho_g_cm3=5.3 formation_energy_uncorrected_ev_per_atom=0.315 pbc="T T T"
Zn 0.000 0.000 0.000
Zn 1.675 1.675 1.675
As 5.026 5.026 5.026
Cl 3.351 3.351 3.351

Copy entry 2 word for word.
4
Lattice="-1.753 1.755 8.122 1.753 -1.755 8.122 1.753 1.755 -8.122" Properties=species:S:1:pos:R:3 comment="ZnAs2Cl (PBE, relaxed)" magnetic_moment_mub_per_cell=0.00 de_polymorph_ev_per_atom=0.122 rho_g_cm3=4.2 formation_energy_uncorrected_ev_per_atom=-0.151 pbc="T T T"
Zn 0.000 0.000 0.000
As 1.753 0.000 3.086
As 0.000 0.000 9.505
Cl 0.000 1.755 6.527